Entry from Alexandria: a relaxed structure of BaAs (GGA-PBE).

Its calculated formation energy is -2.002 eV/f.u.

The structure belongs to space group C2/m (No. 12); the cell edges are 11.7333, 4.6367 and 5.1140 Å and the angles 90.00°, 98.64° and 90.00°. The asymmetric unit holds Ba at (0.1274, 0.0000, 0.2349) and As at (0.0879, 0.5000, 0.6770).


Entry from Alexandria: a relaxed structure of Sr2Ac2Hg3 (GGA-PBE).

Its calculated formation energy is -2.787 eV/f.u.

The structure belongs to space group R-3m (No. 166, hexagonal axes); the cell edges are 5.6548, 5.6548 and 27.8453 Å and the angles 90.00°, 90.00° and 120.00°. The asymmetric unit holds Sr at (0.0000, 0.0000, 0.1258), Ac at (0.0000, 0.0000, 0.3761), Hg at (0.0000, 0.0000, 0.0000) and Hg at (0.0000, 0.0000, 0.2504).


Entry from Alexandria: a relaxed structure of Ba2ScIn (GGA-PBE).

Its calculated formation energy is 0.236 eV/f.u.

The structure belongs to space group P4/mmm (No. 123); the cell edges are 4.3150, 4.3150 and 8.3385 Å and the angles 90.00°, 90.00° and 90.00°. The asymmetric unit holds Ba at (0.0000, 0.0000, 0.2401), Sc at (0.5000, 0.5000, 0.5000) and In at (0.5000, 0.5000, 0.0000).